Computed, not measured: a relaxed structure of CoAgAs2 at the PBE-GGA level of DFT.

Summary:
Energy relative to the lowest polymorph listed for this composition: 0.2197 eV per atom
ΔE_f: 245.5 meV per atom
Space group: Pm (6)

Cell and atoms, written as CIF:
```
data_CoAgAs2
_chemical_formula_sum 'Co1 Ag1 As2'
_cell_length_a 4.033
_cell_length_b 2.873
_cell_length_c 7.101
_cell_angle_alpha 65.59
_cell_angle_beta 90.00
_cell_angle_gamma 90.00
_symmetry_space_group_name_H-M 'P 1'
_symmetry_Int_Tables_number 1
loop_
_symmetry_equiv_pos_as_xyz
'x,y,z'
loop_
_atom_site_label
_atom_site_fract_x
_atom_site_fract_y
_atom_site_fract_z
Ag1 0.500 0.648 0.725
As1 0.500 0.536 0.345
As2 0.000 0.969 0.901
Co1 0.000 0.347 0.530
```

***

Computed, not measured: a relaxed structure of YTcP at the PBE-GGA level of DFT.

Summary:
Energy relative to the lowest polymorph listed for this composition: 0.3103 eV per atom
ΔE_f: -352.5 meV per atom
Space group: F-43m (216)

Cell and atoms, written as CIF:
```
data_YTcP
_chemical_formula_sum 'Y1 Tc1 P1'
_cell_length_a 4.368
_cell_length_b 4.368
_cell_length_c 4.368
_cell_angle_alpha 60.00
_cell_angle_beta 60.00
_cell_angle_gamma 60.00
_symmetry_space_group_name_H-M 'P 1'
_symmetry_Int_Tables_number 1
loop_
_symmetry_equiv_pos_as_xyz
'x,y,z'
loop_
_atom_site_label
_atom_site_fract_x
_atom_site_fract_y
_atom_site_fract_z
Tc1 0.000 0.000 0.000
P1 0.750 0.750 0.750
Y1 0.500 0.500 0.500
```

***

Computed, not measured: a relaxed structure of LaDyCoCu at the PBE-GGA level of DFT.

Summary:
ΔE_f: -99.3 meV per atom
Space group: F-43m (216)

Cell and atoms, written as CIF:
```
data_LaDyCoCu
_chemical_formula_sum 'La1 Dy1 Co1 Cu1'
_cell_length_a 4.935
_cell_length_b 4.935
_cell_length_c 4.935
_cell_angle_alpha 60.00
_cell_angle_beta 60.00
_cell_angle_gamma 60.00
_symmetry_space_group_name_H-M 'P 1'
_symmetry_Int_Tables_number 1
loop_
_symmetry_equiv_pos_as_xyz
'x,y,z'
loop_
_atom_site_label
_atom_site_fract_x
_atom_site_fract_y
_atom_site_fract_z
Co1 0.750 0.750 0.750
Dy1 0.000 0.000 0.000
La1 0.500 0.500 0.500
Cu1 0.250 0.250 0.250
```

***

Computed, not measured: a relaxed structure of Cr2CuPt at the PBE-GGA level of DFT.

Summary:
ΔE_f: -19.0 meV per atom
Space group: I-4m2 (119)

Cell and atoms, written as CIF:
```
data_Cr2CuPt
_chemical_formula_sum 'Cr2 Cu1 Pt1'
_cell_length_a 4.613
_cell_length_b 4.613
_cell_length_c 4.613
_cell_angle_alpha 130.86
_cell_angle_beta 130.85
_cell_angle_gamma 72.04
_symmetry_space_group_name_H-M 'P 1'
_symmetry_Int_Tables_number 1
loop_
_symmetry_equiv_pos_as_xyz
'x,y,z'
loop_
_atom_site_label
_atom_site_fract_x
_atom_site_fract_y
_atom_site_fract_z
Pt1 0.750 0.250 0.500
Cr1 0.250 0.750 0.500
Cr2 0.000 0.000 0.000
Cu1 0.500 0.500 0.000
```

***

Computed, not measured: a relaxed structure of MgCu3Sb at the PBE-GGA level of DFT.

Summary:
Energy relative to the lowest polymorph listed for this composition: 0.0000 eV per atom
Raw formation energy: 574 meV/atom
Space group: Pm-3m (221)

Cell and atoms, written as CIF:
```
data_MgCu3Sb
_chemical_formula_sum 'Mg1 Cu3 Sb1'
_cell_length_a 4.855
_cell_length_b 4.855
_cell_length_c 4.855
_cell_angle_alpha 90.00
_cell_angle_beta 90.00
_cell_angle_gamma 90.00
_symmetry_space_group_name_H-M 'P 1'
_symmetry_Int_Tables_number 1
loop_
_symmetry_equiv_pos_as_xyz
'x,y,z'
loop_
_atom_site_label
_atom_site_fract_x
_atom_site_fract_y
_atom_site_fract_z
Cu1 0.000 0.000 0.500
Cu2 0.500 0.000 0.000
Cu3 0.000 0.500 0.000
Sb1 0.000 0.000 0.000
Mg1 0.500 0.500 0.500
```

***

Computed, not measured: a relaxed structure of Tl3RhO at the PBE-GGA level of DFT.

Summary:
Energy relative to the lowest polymorph listed for this composition: 0.0606 eV per atom
Raw formation energy: 308 meV/atom
Space group: Pm-3m (221)

Cell and atoms, written as CIF:
```
data_Tl3RhO
_chemical_formula_sum 'Tl3 Rh1 O1'
_cell_length_a 4.837
_cell_length_b 4.837
_cell_length_c 4.837
_cell_angle_alpha 90.00
_cell_angle_beta 90.00
_cell_angle_gamma 90.00
_symmetry_space_group_name_H-M 'P 1'
_symmetry_Int_Tables_number 1
loop_
_symmetry_equiv_pos_as_xyz
'x,y,z'
loop_
_atom_site_label
_atom_site_fract_x
_atom_site_fract_y
_atom_site_fract_z
Tl1 0.000 0.000 0.500
Tl2 0.500 0.000 0.000
Tl3 0.000 0.500 0.000
O1 0.000 0.000 0.000
Rh1 0.500 0.500 0.500
```

***

Computed, not measured: a relaxed structure of NaAc2Sn4 at the PBE-GGA level of DFT.

Summary:
ΔE_f: -142.3 meV per atom
Space group: I4/mmm (139)

Cell and atoms, written as CIF:
```
data_NaAc2Sn4
_chemical_formula_sum 'Na1 Ac2 Sn4'
_cell_length_a 5.301
_cell_length_b 5.301
_cell_length_c 9.243
_cell_angle_alpha 106.66
_cell_angle_beta 106.66
_cell_angle_gamma 90.00
_symmetry_space_group_name_H-M 'P 1'
_symmetry_Int_Tables_number 1
loop_
_symmetry_equiv_pos_as_xyz
'x,y,z'
loop_
_atom_site_label
_atom_site_fract_x
_atom_site_fract_y
_atom_site_fract_z
Sn1 0.000 0.500 0.000
Sn2 0.167 0.167 0.334
Sn3 0.833 0.833 0.666
Sn4 0.500 0.000 0.000
Ac1 0.636 0.636 0.273
Ac2 0.364 0.364 0.727
Na1 0.000 0.000 0.000
```

***

Computed, not measured: a relaxed structure of HoThTl2 at the PBE-GGA level of DFT.

Summary:
ΔE_f: -232.6 meV per atom
Space group: P4/mmm (123)

Cell and atoms, written as CIF:
```
data_HoThTl2
_chemical_formula_sum 'Ho1 Th1 Tl2'
_cell_length_a 3.557
_cell_length_b 3.557
_cell_length_c 8.905
_cell_angle_alpha 90.00
_cell_angle_beta 90.00
_cell_angle_gamma 90.00
_symmetry_space_group_name_H-M 'P 1'
_symmetry_Int_Tables_number 1
loop_
_symmetry_equiv_pos_as_xyz
'x,y,z'
loop_
_atom_site_label
_atom_site_fract_x
_atom_site_fract_y
_atom_site_fract_z
Tl1 0.000 0.000 0.239
Tl2 0.000 0.000 0.761
Th1 0.500 0.500 0.500
Ho1 0.500 0.500 0.000
```

***

Computed, not measured: a relaxed structure of CsMo3Os at the PBE-GGA level of DFT.

Summary:
ΔE_f: 1834.4 meV per atom
Space group: Pm-3m (221)

Cell and atoms, written as CIF:
```
data_CsMo3Os
_chemical_formula_sum 'Cs1 Mo3 Os1'
_cell_length_a 4.964
_cell_length_b 4.964
_cell_length_c 4.964
_cell_angle_alpha 90.00
_cell_angle_beta 90.00
_cell_angle_gamma 90.00
_symmetry_space_group_name_H-M 'P 1'
_symmetry_Int_Tables_number 1
loop_
_symmetry_equiv_pos_as_xyz
'x,y,z'
loop_
_atom_site_label
_atom_site_fract_x
_atom_site_fract_y
_atom_site_fract_z
Mo1 0.000 0.000 0.500
Mo2 0.500 0.000 0.000
Mo3 0.000 0.500 0.000
Cs1 0.500 0.500 0.500
Os1 0.000 0.000 0.000
```

***

Computed, not measured: a relaxed structure of In2TcPt at the PBE-GGA level of DFT.

Summary:
ΔE_f: -9.9 meV per atom
Space group: Pmmm (47)

Cell and atoms, written as CIF:
```
data_In2TcPt
_chemical_formula_sum 'In2 Tc1 Pt1'
_cell_length_a 3.187
_cell_length_b 3.473
_cell_length_c 6.399
_cell_angle_alpha 90.00
_cell_angle_beta 90.00
_cell_angle_gamma 90.00
_symmetry_space_group_name_H-M 'P 1'
_symmetry_Int_Tables_number 1
loop_
_symmetry_equiv_pos_as_xyz
'x,y,z'
loop_
_atom_site_label
_atom_site_fract_x
_atom_site_fract_y
_atom_site_fract_z
Tc1 0.500 0.500 0.750
In1 0.000 0.000 0.505
In2 0.000 0.000 0.995
Pt1 0.500 0.500 0.250
```

***

Computed, not measured: a relaxed structure of SrNiIr2 at the PBE-GGA level of DFT.

Summary:
Energy relative to the lowest polymorph listed for this composition: 0.0347 eV per atom
ΔE_f: 233.2 meV per atom
Space group: Pmm2 (25)

Cell and atoms, written as CIF:
```
data_SrNiIr2
_chemical_formula_sum 'Sr1 Ni1 Ir2'
_cell_length_a 2.832
_cell_length_b 3.669
_cell_length_c 6.955
_cell_angle_alpha 90.00
_cell_angle_beta 90.00
_cell_angle_gamma 90.00
_symmetry_space_group_name_H-M 'P 1'
_symmetry_Int_Tables_number 1
loop_
_symmetry_equiv_pos_as_xyz
'x,y,z'
loop_
_atom_site_label
_atom_site_fract_x
_atom_site_fract_y
_atom_site_fract_z
Ir1 0.500 0.500 0.253
Ir2 0.000 0.000 0.070
Sr1 0.500 0.500 0.744
Ni1 0.000 0.000 0.433
```

***

Computed, not measured: a relaxed structure of LiPr2Os at the PBE-GGA level of DFT.

Summary:
Energy relative to the lowest polymorph listed for this composition: 0.0000 eV per atom
ΔE_f: -41.1 meV per atom
Space group: Fm-3m (225)

Cell and atoms, written as CIF:
```
data_LiPr2Os
_chemical_formula_sum 'Li1 Pr2 Os1'
_cell_length_a 5.098
_cell_length_b 5.098
_cell_length_c 5.098
_cell_angle_alpha 60.00
_cell_angle_beta 60.00
_cell_angle_gamma 60.00
_symmetry_space_group_name_H-M 'P 1'
_symmetry_Int_Tables_number 1
loop_
_symmetry_equiv_pos_as_xyz
'x,y,z'
loop_
_atom_site_label
_atom_site_fract_x
_atom_site_fract_y
_atom_site_fract_z
Li1 0.500 0.500 0.500
Os1 0.000 0.000 0.000
Pr1 0.250 0.250 0.250
Pr2 0.750 0.750 0.750
```